Here is a relaxed structure of Ac3CdHg4 from the Alexandria database. Energies are from PBE.

```
Ac3CdHg4
1.0
-3.837 -1.120 -1.190
-0.646 -5.484 7.247
-0.507 8.667 0.787
Hg Ac Cd
4 3 1
direct
0.378 0.148 0.755
0.622 0.392 0.245
0.378 0.608 0.755
0.622 0.852 0.245
0.799 0.799 0.599
0.201 0.201 0.401
0.000 0.500 0.000
0.500 0.000 0.000
```

## Properties
The density of states at the Fermi level comes out at 7.58 states/eV/cell. The total moment is 0.0 μB per formula unit. For the formation enthalpy at 0 K, the calculation gives -0.34 eV/atom. The energy above the most stable polymorph in this dataset comes out at 0.090 eV per atom. As for the space group: Immm (71).

Here is a relaxed structure of Be2Fe5CoW2 from the Alexandria database. Energies are from PBE.

```
Be2Fe5CoW2
1.0
3.038 0.000 0.000
0.000 8.519 0.000
0.000 0.000 8.519
W Be Fe Co
4 4 10 2
direct
0.000 0.176 0.324
0.000 0.676 0.176
0.000 0.324 0.824
0.000 0.824 0.676
0.000 0.379 0.121
0.000 0.121 0.621
0.000 0.879 0.379
0.000 0.621 0.879
0.500 0.708 0.435
0.500 0.208 0.065
0.500 0.935 0.208
0.500 0.565 0.708
0.500 0.792 0.935
0.500 0.000 0.500
0.500 0.435 0.292
0.500 0.500 0.000
0.500 0.292 0.565
0.500 0.065 0.792
0.000 0.500 0.500
0.000 0.000 0.000
```

## Properties
The density of states at the Fermi level comes out at 15.56 states/eV/cell. The total moment is 6.9 μB per formula unit. For the formation enthalpy at 0 K, the calculation gives 0.02 eV/atom. As for the space group: P4/mbm (127).

Here is a relaxed structure of Ca2NdLu from the Alexandria database. Energies are from PBE.

```
Ca2NdLu
1.0
-3.976 -3.761 -1.122
2.292 -3.336 3.056
-2.727 1.714 3.917
Nd Lu Ca
1 1 2
direct
0.500 0.500 0.500
0.500 0.000 0.000
0.000 0.500 0.000
0.000 0.000 0.500
```

## Properties
The density of states at the Fermi level comes out at 7.98 states/eV/cell. The total moment is 0.5 μB per formula unit. For the formation enthalpy at 0 K, the calculation gives 0.17 eV/atom. The energy above the most stable polymorph in this dataset comes out at 0.004 eV per atom. As for the space group: P4/mmm (123).

Here is a relaxed structure of ScBeSn2 from the Alexandria database. Energies are from PBE.

```
ScBeSn2
1.0
-3.109 -1.190 -0.490
-0.992 -2.810 1.564
-4.511 3.859 7.691
Be Sn Sc
1 2 1
direct
0.000 0.000 0.000
0.084 0.084 0.749
0.916 0.916 0.251
0.500 0.500 0.500
```

## Properties
The density of states at the Fermi level comes out at 3.63 states/eV/cell. The total moment is 0.0 μB per formula unit. For the formation enthalpy at 0 K, the calculation gives 0.16 eV/atom. As for the space group: R-3m (166).

Here is a relaxed structure of Tb4Sm6Tm from the Alexandria database. Energies are from PBE.

```
Tb4Sm6Tm
1.0
7.511 0.000 0.000
0.000 7.511 0.000
-3.755 -3.755 6.777
Sm Tb Tm
6 4 1
direct
0.914 0.461 0.375
0.461 0.914 0.375
0.539 0.539 0.625
0.000 0.500 0.000
0.086 0.086 0.625
0.500 0.000 0.000
0.753 0.087 0.840
0.247 0.247 0.160
0.087 0.753 0.840
0.913 0.913 0.160
0.500 0.500 0.000
```

## Properties
The density of states at the Fermi level comes out at 13.73 states/eV/cell. The total moment is 0.0 μB per formula unit. For the formation enthalpy at 0 K, the calculation gives 0.39 eV/atom. The energy above the most stable polymorph in this dataset comes out at 0.267 eV per atom. As for the space group: I-42m (121).

Here is a relaxed structure of NdSm2Pb2 from the Alexandria database. Energies are from PBE.

```
NdSm2Pb2
1.0
-2.589 2.227 -1.199
-4.245 -4.415 0.966
-0.309 6.678 13.076
Sm Pb Nd
4 4 2
direct
0.250 0.720 0.912
0.250 0.252 0.492
0.750 0.748 0.508
0.750 0.280 0.088
0.750 0.784 0.096
0.250 0.643 0.688
0.750 0.357 0.312
0.250 0.216 0.904
0.250 0.828 0.283
0.750 0.172 0.717
```

## Properties
The density of states at the Fermi level comes out at 8.44 states/eV/cell. The total moment is 0.0 μB per formula unit. For the formation enthalpy at 0 K, the calculation gives -0.33 eV/atom. The energy above the most stable polymorph in this dataset comes out at 0.000 eV per atom. As for the space group: P2_1/m (11).